Here is an optimized crystal structure of Li4ErPt from Alexandria via LeMat-Bulk. Energies are from PBE.

```
Li4ErPt
1.0
-1.341 -1.593 4.707
-2.958 -4.174 0.559
2.003 -4.336 1.917
Li Pt Er
4 1 1
Cartesian
-2.471 -4.122 3.529
0.076 -4.205 4.227
-1.442 -6.348 4.513
-0.754 -5.531 2.097
0.000 0.000 0.000
-0.574 -2.526 1.796
```

Total energy ... -3.255 eV/atom
Formation energy ... -0.212 eV/atom

***

Here is an optimized crystal structure of LiErPt from Alexandria via LeMat-Bulk. Energies are from PBE.

```
LiErPt
1.0
-1.306 -1.588 -3.243
-4.229 -3.205 0.999
-6.571 3.197 1.075
Li Er Pt
2 2 2
Cartesian
-8.955 0.691 -0.242
-4.808 -3.480 -2.138
-5.694 1.173 0.482
-6.764 -2.374 0.381
-9.046 -1.705 -1.306
-4.717 -1.084 -1.074
```

Total energy ... -4.993 eV/atom
Formation energy ... -0.820 eV/atom
Excess energy over the best structure of this formula in the dataset ... 0.083 eV/atom

***

Here is an optimized crystal structure of LiEr5Pt6 from Alexandria via LeMat-Bulk. Energies are from PBE.

```
LiEr5Pt6
1.0
4.651 -0.004 -1.304
-3.479 6.765 -3.480
-0.181 -0.956 8.308
Er Pt Li
5 6 1
Cartesian
1.634 0.238 5.831
-1.270 1.594 4.415
0.496 2.902 1.762
-2.390 4.215 0.414
-0.643 5.567 -2.306
0.819 0.175 2.914
1.297 2.998 4.629
2.590 1.535 0.280
-1.599 4.270 3.244
-0.306 2.807 -1.105
0.173 5.630 0.610
0.000 0.000 0.000
```

Total energy ... -6.253 eV/atom
Formation energy ... -1.172 eV/atom

***

Here is an optimized crystal structure of Li2Er3Pt3 from Alexandria via LeMat-Bulk. Energies are from PBE.

```
Li2Er3Pt3
1.0
5.510 0.000 0.000
0.000 7.225 -4.171
0.000 0.000 8.342
Li Er Pt
4 6 6
Cartesian
0.000 2.408 4.171
2.755 4.817 0.000
0.000 4.817 0.000
2.755 2.408 4.171
4.133 1.994 -1.151
4.133 5.231 3.020
4.133 0.000 2.302
1.378 5.231 -3.020
1.378 1.994 1.151
1.378 0.000 6.040
4.133 4.471 -2.582
4.133 2.753 1.590
4.133 0.000 5.163
1.378 2.753 -1.590
1.378 4.471 2.582
1.378 0.000 3.179
```

Total energy ... -5.423 eV/atom
Formation energy ... -0.968 eV/atom

***

Here is an optimized crystal structure of LiErPt from Alexandria via LeMat-Bulk. Energies are from PBE.

```
LiErPt
1.0
3.602 0.000 0.000
0.000 3.602 0.000
-1.801 -1.801 4.429
Er Pt Li
1 1 1
Cartesian
1.801 1.801 3.869
0.000 0.000 2.513
1.801 1.801 1.148
```

Total energy ... -4.924 eV/atom
Formation energy ... -0.751 eV/atom
Excess energy over the best structure of this formula in the dataset ... 0.152 eV/atom

***

Here is an optimized crystal structure of LiEr3Pt2 from Alexandria via LeMat-Bulk. Energies are from PBE.

```
LiEr3Pt2
1.0
4.902 0.000 0.000
-2.451 4.245 0.000
0.000 0.000 12.258
Li Er Pt
2 6 4
Cartesian
0.000 2.830 8.214
2.451 1.415 4.045
0.000 2.830 5.144
2.451 1.415 0.939
0.000 0.000 9.285
0.000 0.000 2.973
0.000 2.830 11.320
2.451 1.415 7.114
0.000 0.000 6.129
0.000 2.830 2.343
2.451 1.415 9.915
0.000 0.000 0.000
```

Total energy ... -5.538 eV/atom
Formation energy ... -0.924 eV/atom

***

Here is an optimized crystal structure of LiEr2Pt3 from Alexandria via LeMat-Bulk. Energies are from PBE.

```
LiEr2Pt3
1.0
-1.347 1.464 -2.823
-3.172 -0.835 1.081
-0.606 8.131 4.505
Li Er Pt
1 2 3
Cartesian
-2.563 4.379 1.382
-2.753 6.931 2.795
-2.372 1.828 -0.032
0.000 0.000 0.000
-0.393 5.265 2.918
-0.214 2.865 1.588
```

Total energy ... -5.953 eV/atom
Formation energy ... -1.093 eV/atom
Excess energy over the best structure of this formula in the dataset ... 0.013 eV/atom

***

Here is an optimized crystal structure of LiEr4Pt2 from Alexandria via LeMat-Bulk. Energies are from PBE.

```
LiEr4Pt2
1.0
4.673 0.000 1.460
2.108 4.170 1.460
-0.048 -0.030 8.363
Li Er Pt
1 4 2
Cartesian
0.000 0.000 0.000
5.895 3.625 5.757
0.838 0.515 5.526
4.208 2.588 2.949
2.525 1.553 8.334
5.034 3.096 8.512
1.699 1.045 2.771
```

Total energy ... -5.417 eV/atom
Formation energy ... -0.811 eV/atom

***

Here is an optimized crystal structure of Li2Er2Pt3 from Alexandria via LeMat-Bulk. Energies are from PBE.

```
Li2Er2Pt3
1.0
4.594 -0.008 -1.296
-2.483 4.090 -0.003
-0.402 -0.245 7.510
Li Er Pt
2 2 3
Cartesian
0.736 0.447 2.619
0.973 3.390 3.592
2.546 1.547 0.230
-0.836 2.291 5.980
0.000 0.000 0.000
1.383 0.838 5.064
0.327 2.999 1.146
```

Total energy ... -5.347 eV/atom
Formation energy ... -0.908 eV/atom

***

Here is an optimized crystal structure of Li4ErPt2 from Alexandria via LeMat-Bulk. Energies are from PBE.

```
Li4ErPt2
1.0
4.100 0.000 0.000
0.000 7.542 0.000
0.000 0.000 7.542
Li Er Pt
8 2 4
Cartesian
0.000 0.747 2.618
0.000 6.795 4.924
2.050 1.153 4.518
2.050 6.389 3.024
2.050 3.024 6.389
2.050 4.518 1.153
0.000 2.618 0.747
0.000 4.924 6.795
2.050 0.000 0.000
0.000 3.771 3.771
0.000 1.539 6.003
0.000 6.003 1.539
2.050 5.310 5.310
2.050 2.232 2.232
```

Total energy ... -4.080 eV/atom
Formation energy ... -0.608 eV/atom

***

Here is an optimized crystal structure of Li4Er3Pt4 from Alexandria via LeMat-Bulk. Energies are from PBE.

```
Li4Er3Pt4
1.0
-0.606 3.251 2.129
-3.312 3.207 -5.838
-4.131 -5.728 3.937
Li Er Pt
4 3 4
Cartesian
-3.306 -2.238 2.475
-3.465 1.730 0.005
-4.743 2.967 -2.247
-4.584 -1.000 0.223
-1.495 -0.613 0.511
-6.554 1.343 -0.283
-1.656 1.603 -2.919
-4.387 0.483 -1.985
-3.662 0.247 2.213
-2.964 4.201 -3.625
-0.954 2.256 -0.084
```

Total energy ... -4.961 eV/atom
Formation energy ... -0.824 eV/atom

***

Here is an optimized crystal structure of LiEr2Pt from Alexandria via LeMat-Bulk. Energies are from PBE.

```
LiEr2Pt
1.0
3.652 0.000 0.000
0.000 4.819 0.000
0.000 0.000 4.819
Li Pt Er
1 1 2
Cartesian
1.826 2.410 2.410
1.826 0.000 0.000
0.000 0.000 2.410
0.000 2.410 0.000
```

Total energy ... -4.937 eV/atom
Formation energy ... -0.666 eV/atom

***

- The lowest total energy belongs to which entry?
  LiEr5Pt6